The following is a PBE calculation of PbW3 after structural relaxation, from Alexandria via LeMat-Bulk.

Cell lengths 4.582, 4.582, 3.376 Å; angles 90.00, 90.00, 90.00 degrees
Space group P4/mmm (No. 123)
Asymmetric unit:
Pb 0.000 0.000 0.000 (multiplicity 1)
W 0.000 0.500 0.500 (multiplicity 2)
W 0.500 0.500 0.000 (multiplicity 1)

Calculated values
The calculated formation energy comes out at 3.7 eV/f.u. The calculation puts the excess energy over the best structure of this formula in the dataset at 249 meV/atom. The value obtained for the calculated total energy is -9.70 eV per atom. As for the density of states at the Fermi level: 0.832 states/eV/atom.

The following is a PBE calculation of TlSn4Pb15 after structural relaxation, from Alexandria via LeMat-Bulk.

Cell lengths 5.990, 5.990, 17.340 Å; angles 90.00, 90.00, 90.00 degrees
Space group P4/mmm (No. 123)
Asymmetric unit:
Tl 0.000 0.000 0.000 (multiplicity 1)
Sn 0.000 0.000 0.201 (multiplicity 2)
Sn 0.000 0.000 0.396 (multiplicity 2)
Pb 0.000 0.500 0.107 (multiplicity 4)
Pb 0.000 0.500 0.301 (multiplicity 4)
Pb 0.000 0.500 0.500 (multiplicity 2)
Pb 0.500 0.500 0.000 (multiplicity 1)
Pb 0.500 0.500 0.201 (multiplicity 2)
Pb 0.500 0.500 0.399 (multiplicity 2)

Calculated values
The calculated formation energy comes out at 1.0 eV/f.u. The value obtained for the calculated total energy is -3.65 eV per atom. As for the density of states at the Fermi level: 0.651 states/eV/atom.

The following is a PBE calculation of Ca3TlZn after structural relaxation, from Alexandria via LeMat-Bulk.

Cell lengths 5.683, 5.683, 5.683 Å; angles 90.00, 90.00, 90.00 degrees
Space group Pm-3m (No. 221)
Asymmetric unit:
Ca 0.000 0.000 0.500 (multiplicity 3)
Tl 0.500 0.500 0.500 (multiplicity 1)
Zn 0.000 0.000 0.000 (multiplicity 1)

Calculated values
The calculated formation energy comes out at 0.0 eV/f.u. The calculation puts the excess energy over the best structure of this formula in the dataset at 282 meV/atom. The value obtained for the calculated total energy is -1.93 eV per atom. As for the density of states at the Fermi level: 1.432 states/eV/atom.

The following is a PBE calculation of BaTa after structural relaxation, from Alexandria via LeMat-Bulk.

Cell lengths 9.755, 9.755, 9.755 Å; angles 90.00, 90.00, 90.00 degrees
Space group Pm-3n (No. 223)
Asymmetric unit:
Ba 0.000 0.250 0.500 (multiplicity 6)
Ta 0.000 0.500 0.250 (multiplicity 6)

Calculated values
The calculated formation energy comes out at 5.9 eV/f.u. The calculation puts the excess energy over the best structure of this formula in the dataset at 2437 meV/atom. The value obtained for the calculated total energy is -3.93 eV per atom. As for the density of states at the Fermi level: 1.701 states/eV/atom.

The following is a PBE calculation of La2YMgCo after structural relaxation, from Alexandria via LeMat-Bulk.

Cell lengths 5.267, 5.267, 5.497 Å; angles 90.00, 90.00, 90.00 degrees
Space group P4/mmm (No. 123)
Asymmetric unit:
La 0.000 0.500 0.000 (multiplicity 2)
Y 0.000 0.000 0.500 (multiplicity 1)
Mg 0.500 0.500 0.500 (multiplicity 1)
Co 0.000 0.000 0.000 (multiplicity 1)

Calculated values
The calculated formation energy comes out at -0.4 eV/f.u. The calculation puts the excess energy over the best structure of this formula in the dataset at 0 meV/atom. The value obtained for the calculated total energy is -5.09 eV per atom. As for the density of states at the Fermi level: 1.289 states/eV/atom.

The following is a PBE calculation of Ag4PdBr6 after structural relaxation, from Alexandria via LeMat-Bulk.

Cell lengths 13.760, 7.852, 12.670 Å; angles 90.00, 97.28, 90.00 degrees
Space group Cc (No. 9)
Asymmetric unit:
Ag 0.000 0.074 0.000 (multiplicity 4)
Ag 0.137 0.364 0.497 (multiplicity 4)
Ag 0.147 0.397 0.729 (multiplicity 4)
Ag 0.341 0.258 0.019 (multiplicity 4)
Pd 0.393 0.257 0.675 (multiplicity 4)
Br 0.136 0.086 0.622 (multiplicity 4)
Br 0.149 0.313 0.937 (multiplicity 4)
Br 0.320 0.458 0.198 (multiplicity 4)
Br 0.337 0.252 0.479 (multiplicity 4)
Br 0.454 0.037 0.160 (multiplicity 4)
Br 0.466 0.266 0.866 (multiplicity 4)

Calculated values
The calculation puts the uncorrected formation energy at -0.29 eV/atom. The value obtained for the calculated total energy is -2.71 eV per atom.

The following is a PBE calculation of NdRe2PbO8 after structural relaxation, from Alexandria via LeMat-Bulk.

Cell lengths 6.1010, 6.1010, 7.2623 Å; angles 90.00, 90.00, 120.00 degrees
Space group P-3m1 (No. 164)
Asymmetric unit:
Nd 0.0000 0.0000 0.0000 (multiplicity 1)
Re 0.3333 0.6667 0.2912 (multiplicity 2)
Pb 0.0000 0.0000 0.5000 (multiplicity 1)
O 0.1669 0.3339 0.2167 (multiplicity 6)
O 0.3333 0.6667 0.5359 (multiplicity 2)

Calculated values
The calculation puts the uncorrected formation energy at -1.69 eV/atom. The value obtained for the calculated total energy is -7.77 eV per atom. As for the density of states at the Fermi level: 0.614 states/eV/atom.

The following is a PBE calculation of K2NaPrBr6 after structural relaxation, from Alexandria via LeMat-Bulk.

Cell lengths 11.561, 11.561, 11.561 Å; angles 90.00, 90.00, 90.00 degrees
Space group Fm-3m (No. 225)
Asymmetric unit:
K 0.250 0.250 0.250 (multiplicity 8)
Na 0.000 0.000 0.000 (multiplicity 4)
Pr 0.000 0.000 0.500 (multiplicity 4)
Br 0.000 0.000 0.250 (multiplicity 24)

Calculated values
The calculation puts the uncorrected formation energy at -1.72 eV/atom. The calculation puts the excess energy over the best structure of this formula in the dataset at 60 meV/atom. The value obtained for the calculated total energy is -3.56 eV per atom. As for the density of states at the Fermi level: 0.000 states/eV/atom.